No. 1
Material: PaTaS4
Method: DFT, PBE
State: relaxed

a = 6.5157 Å, b = 5.9845 Å, c = 7.1857 Å
α = 90.00°, β = 90.00°, γ = 90.00°
With the nearest neighbours (Å) after each atom.
Positions (direct):
Pa 0.0000 0.0000 0.0000  6 S 2.66-2.71
Pa 0.0000 0.5000 0.5000  6 S 2.66-2.71
Ta 0.5000 0.0000 0.7692  6 S 2.42-2.67
Ta 0.5000 0.5000 0.2692  6 S 2.42-2.67
S 0.1961 0.2343 0.7412  1 Ta 2.43, 2 Pa 2.66-2.68
S 0.1961 0.2657 0.2412  1 Ta 2.43, 2 Pa 2.66-2.68
S 0.3467 0.7502 0.4941  2 Ta 2.42-2.67
S 0.3467 0.7498 0.9941  2 Ta 2.42-2.67
S 0.6533 0.2498 0.4941  2 Ta 2.42-2.67
S 0.6533 0.2502 0.9941  2 Ta 2.42-2.67
S 0.8039 0.7343 0.2412  1 Ta 2.43, 2 Pa 2.66-2.68
S 0.8039 0.7657 0.7412  1 Ta 2.43, 2 Pa 2.66-2.68

Computed properties:
ΔE to the lowest computed polymorph (kJ/mol of formula units): 66.3
Formation energy without anion corrections (eV/atom): -1.16

***

No. 2
Material: Pr2YHo2
Method: DFT, PBE
State: relaxed

a = 3.6262 Å, b = 3.6262 Å, c = 14.7751 Å
α = 97.10°, β = 97.10°, γ = 60.07°
With the nearest neighbours (Å) after each atom.
Positions (direct):
Pr 0.1322 0.1322 0.3934  3 Ho 3.59, 9 Pr 3.63-3.76
Pr 0.8678 0.8678 0.6066  3 Ho 3.59, 9 Pr 3.63-3.76
Y 0.0000 0.0000 0.0000  6 Ho 3.53, 6 Y 3.63
Ho 0.3990 0.3990 0.1942  3 Y 3.53, 3 Pr 3.59, 6 Ho 3.63
Ho 0.6010 0.6010 0.8058  3 Y 3.53, 3 Pr 3.59, 6 Ho 3.63

Computed properties:
ΔE to the lowest computed polymorph (kJ/mol of formula units): 0.0

***

No. 3
Material: AlSiO3
Method: DFT, PBE
State: relaxed

a = 3.5249 Å, b = 3.5249 Å, c = 3.5249 Å
α = 90.00°, β = 90.00°, γ = 90.00°
With the nearest neighbours (Å) after each atom.
Positions (direct):
Al 0.0000 0.0000 0.0000  12 O 2.49
Si 0.5000 0.5000 0.5000  6 O 1.76
O 0.0000 0.5000 0.5000  2 Si 1.76
O 0.5000 0.0000 0.5000  2 Si 1.76
O 0.5000 0.5000 0.0000  2 Si 1.76

Computed properties:
Formation energy without anion corrections (eV/atom): -1.73

***

No. 4
Material: SrZrBiI2
Method: DFT, PBE
State: relaxed

a = 6.3865 Å, b = 6.3865 Å, c = 5.7155 Å
α = 90.00°, β = 90.00°, γ = 90.00°
With the nearest neighbours (Å) after each atom.
Positions (direct):
Sr 0.0000 0.0000 0.0000  8 I 4.29, 4 Zr 4.52
Zr 0.5000 0.5000 0.0000  2 Bi 2.86
Bi 0.5000 0.5000 0.5000  2 Zr 2.86, 4 I 3.19
I 0.0000 0.5000 0.5000  2 Bi 3.19
I 0.5000 0.0000 0.5000  2 Bi 3.19

Computed properties:
Formation energy without anion corrections (eV/atom): 0.27

***

No. 5
Material: Bi2Sb2Se
Method: DFT, PBE
State: relaxed

a = 8.8710 Å, b = 8.8710 Å, c = 8.8710 Å
α = 152.05°, β = 152.05°, γ = 39.94°
With the nearest neighbours (Å) after each atom.
Positions (direct):
Bi 0.0928 0.0928 0.0000  1 Bi 3.09, 4 Sb 3.39, 4 Se 3.40
Bi 0.9072 0.9072 0.0000  1 Bi 3.09, 4 Sb 3.39, 4 Se 3.40
Sb 0.2500 0.7500 0.5000  4 Sb 3.03, 4 Bi 3.39
Sb 0.7500 0.2500 0.5000  4 Sb 3.03, 4 Bi 3.39
Se 0.5000 0.5000 0.0000  8 Bi 3.40

Computed properties:
ΔE to the lowest computed polymorph (kJ/mol of formula units): 0.0
Formation energy without anion corrections (eV/atom): 0.16

***

No. 6
Material: LiOs2Au
Method: DFT, PBE
State: relaxed

a = 4.9411 Å, b = 4.9411 Å, c = 4.9411 Å
α = 143.29°, β = 127.13°, γ = 66.09°
With the nearest neighbours (Å) after each atom.
Positions (direct):
Li 0.0000 0.0000 0.0000  2 Au 2.45, 6 Os 2.54-2.69
Os 0.2426 0.7426 0.5000  2 Li 2.54, 2 Os 2.62, 4 Au 2.71
Os 0.4965 0.4965 0.0000  2 Os 2.62, 4 Li 2.69, 4 Au 2.76-2.88
Au 0.7721 0.2721 0.5000  2 Li 2.45, 4 Os 2.71

Computed properties:
ΔE to the lowest computed polymorph (kJ/mol of formula units): 135.2

***

No. 7
Material: RbSn3B4O12
Method: DFT, PBE
State: relaxed

a = 6.4336 Å, b = 6.4336 Å, c = 6.4336 Å
α = 101.48°, β = 101.48°, γ = 101.48°
With the nearest neighbours (Å) after each atom.
Positions (direct):
Rb 0.0000 0.0000 0.0000  6 O 2.74
Sn 0.0000 0.5434 0.4566  6 O 2.05-2.22
Sn 0.4566 0.0000 0.5434  6 O 2.05-2.22
Sn 0.5434 0.4566 0.0000  6 O 2.05-2.22
B 0.0475 0.5000 0.9525  3 O 1.36-1.44
B 0.5000 0.5000 0.5000  3 O 1.40
B 0.5000 0.9525 0.0475  3 O 1.36-1.44
B 0.9525 0.0475 0.5000  3 O 1.36-1.44
O 0.0084 0.2214 0.4140  1 B 1.36
O 0.0972 0.9028 0.5000  1 B 1.44
O 0.2214 0.4140 0.0084  1 B 1.36
O 0.3598 0.6402 0.5000  1 B 1.40
O 0.4140 0.0084 0.2214  1 B 1.36
O 0.5000 0.0972 0.9028  1 B 1.44
O 0.5000 0.3598 0.6402  1 B 1.40
O 0.5860 0.7786 0.9916  1 B 1.36
O 0.6402 0.5000 0.3598  1 B 1.40
O 0.7786 0.9916 0.5860  1 B 1.36
O 0.9028 0.5000 0.0972  1 B 1.44
O 0.9916 0.5860 0.7786  1 B 1.36

Computed properties:
Formation energy without anion corrections (eV/atom): -1.95

***

No. 8
Material: Ag2RuBr
Method: DFT, PBE
State: relaxed

a = 9.8347 Å, b = 9.8347 Å, c = 9.8347 Å
α = 17.44°, β = 17.44°, γ = 17.44°
With the nearest neighbours (Å) after each atom.
Positions (direct):
Ag 0.2444 0.2444 0.2444  3 Ru 2.84, 6 Ag 2.98, 3 Br 3.11
Ag 0.7556 0.7556 0.7556  3 Ru 2.84, 6 Ag 2.98, 3 Br 3.11
Ru 0.5000 0.5000 0.5000  6 Ag 2.84, 6 Ru 2.98
Br 0.0000 0.0000 0.0000  6 Br 2.98, 6 Ag 3.11

Computed properties:
ΔE to the lowest computed polymorph (kJ/mol of formula units): 22.5
Formation energy without anion corrections (eV/atom): 0.53

***

No. 9
Material: ScAsRu2
Method: DFT, PBE
State: relaxed

a = 3.1393 Å, b = 3.1393 Å, c = 6.2233 Å
α = 90.00°, β = 90.00°, γ = 90.00°
With the nearest neighbours (Å) after each atom.
Positions (direct):
Sc 0.0000 0.0000 0.0000  8 Ru 2.78
As 0.0000 0.0000 0.5000  8 Ru 2.65
Ru 0.5000 0.5000 0.2681  4 As 2.65, 4 Sc 2.78, 1 Ru 2.89
Ru 0.5000 0.5000 0.7319  4 As 2.65, 4 Sc 2.78, 1 Ru 2.89

***

No. 10
Material: SrAl11
Method: DFT, PBE
State: relaxed

a = 8.7105 Å, b = 8.7105 Å, c = 8.7105 Å
α = 100.01°, β = 100.01°, γ = 130.72°
With the nearest neighbours (Å) after each atom.
Positions (direct):
Sr 0.3750 0.6250 0.7500  22 Al 3.49-3.91
Sr 0.6250 0.3750 0.2500  22 Al 3.49-3.91
Al 0.0000 0.0000 0.0000  10 Al 2.74-2.94
Al 0.0000 0.0000 0.5000  10 Al 2.74-2.94
Al 0.0000 0.5000 0.0000  10 Al 2.74-2.94
Al 0.1250 0.8750 0.2500  12 Al 2.94-3.04
Al 0.1374 0.5578 0.3333  9 Al 2.74-3.04
Al 0.1374 0.8041 0.5796  9 Al 2.74-3.04
Al 0.1959 0.2755 0.3333  9 Al 2.74-3.04
Al 0.1959 0.8626 0.9204  9 Al 2.74-3.04
Al 0.2755 0.1959 0.8333  9 Al 2.74-3.04
Al 0.2755 0.4422 0.0796  9 Al 2.74-3.04
Al 0.4422 0.2755 0.5796  9 Al 2.74-3.04
Al 0.4422 0.8626 0.1667  9 Al 2.74-3.04
Al 0.5000 0.0000 0.5000  10 Al 2.74-2.94
Al 0.5578 0.1374 0.8333  9 Al 2.74-3.04
Al 0.5578 0.7245 0.4204  9 Al 2.74-3.04
Al 0.7245 0.5578 0.9204  9 Al 2.74-3.04
Al 0.7245 0.8041 0.1667  9 Al 2.74-3.04
Al 0.8041 0.1374 0.0796  9 Al 2.74-3.04
Al 0.8041 0.7245 0.6667  9 Al 2.74-3.04
Al 0.8626 0.1959 0.4204  9 Al 2.74-3.04
Al 0.8626 0.4422 0.6667  9 Al 2.74-3.04
Al 0.8750 0.1250 0.7500  12 Al 2.94-3.04

***

No. 11
Material: V6Mo2W
Method: DFT, PBE
State: relaxed

a = 5.0221 Å, b = 5.0221 Å, c = 6.5181 Å
α = 107.92°, β = 107.92°, γ = 60.00°
With the nearest neighbours (Å) after each atom.
Positions (direct):
V 0.1879 0.7033 0.7994  4 V 2.43-2.66, 1 W 2.52, 1 Mo 2.57
V 0.2545 0.2545 0.0333  8 V 2.54-2.85, 1 Mo 2.60
V 0.2967 0.8121 0.2006  4 V 2.43-2.66, 1 W 2.52, 1 Mo 2.57
V 0.7033 0.1879 0.7994  4 V 2.43-2.66, 1 W 2.52, 1 Mo 2.57
V 0.7455 0.7455 0.9667  8 V 2.54-2.85, 1 Mo 2.60
V 0.8121 0.2967 0.2006  4 V 2.43-2.66, 1 W 2.52, 1 Mo 2.57
Mo 0.1775 0.1775 0.6089  5 V 2.57-2.77
Mo 0.8225 0.8225 0.3911  5 V 2.57-2.77
W 0.5000 0.5000 0.5000  4 V 2.52

Computed properties:
ΔE to the lowest computed polymorph (kJ/mol of formula units): 271.4

***

No. 12
Material: SrGe2Sb2
Method: DFT, PBE
State: relaxed

a = 8.0701 Å, b = 8.0701 Å, c = 8.0701 Å
α = 148.54°, β = 148.54°, γ = 45.09°
With the nearest neighbours (Å) after each atom.
Positions (direct):
Sr 0.0000 0.0000 0.0000  8 Sb 3.48
Ge 0.2500 0.7500 0.5000  4 Sb 3.06, 4 Ge 3.09
Ge 0.7500 0.2500 0.5000  4 Sb 3.06, 4 Ge 3.09
Sb 0.3938 0.3938 0.0000  4 Ge 3.06, 1 Sb 3.17
Sb 0.6062 0.6062 0.0000  4 Ge 3.06, 1 Sb 3.17

Computed properties:
Formation energy without anion corrections (eV/atom): -0.15

***

No. 13
Material: Mn3IrBr
Method: DFT, PBE
State: relaxed

a = 4.2304 Å, b = 4.2304 Å, c = 4.2304 Å
α = 90.00°, β = 90.00°, γ = 90.00°
With the nearest neighbours (Å) after each atom.
Positions (direct):
Mn 0.0000 0.0000 0.5000  2 Br 2.12
Mn 0.0000 0.5000 0.0000  2 Br 2.12
Mn 0.5000 0.0000 0.0000  2 Br 2.12
Ir 0.5000 0.5000 0.5000  12 Mn 2.99
Br 0.0000 0.0000 0.0000  6 Mn 2.12

Computed properties:
ΔE to the lowest computed polymorph (kJ/mol of formula units): 417.9
Formation energy without anion corrections (eV/atom): 1.61

***

No. 14
Material: PaTaIn
Method: DFT, PBE
State: relaxed

a = 6.9536 Å, b = 5.7343 Å, c = 5.6348 Å
α = 75.41°, β = 52.94°, γ = 51.65°
With the nearest neighbours (Å) after each atom.
Positions (direct):
Pa 0.1371 0.1371 0.8629  1 Pa 2.73, 4 Ta 3.03
Pa 0.8629 0.8629 0.1371  1 Pa 2.73, 4 Ta 3.03
Ta 0.2500 0.2500 0.2500  2 Ta 2.85, 4 In 3.01, 4 Pa 3.03
Ta 0.7500 0.7500 0.7500  2 Ta 2.85, 4 In 3.01, 4 Pa 3.03
In 0.3443 0.6557 0.3443  4 Ta 3.01, 1 In 3.03
In 0.6557 0.3443 0.6557  4 Ta 3.01, 1 In 3.03

***

No. 15
Material: ScPaGeOs
Method: DFT, PBE
State: relaxed

a = 4.7201 Å, b = 4.7201 Å, c = 4.7201 Å
α = 60.00°, β = 60.00°, γ = 60.00°
With the nearest neighbours (Å) after each atom.
Positions (direct):
Sc 0.0000 0.0000 0.0000  4 Pa 2.89, 4 Ge 2.89
Pa 0.7500 0.7500 0.7500  4 Os 2.89, 4 Sc 2.89
Ge 0.2500 0.2500 0.2500  4 Os 2.89, 4 Sc 2.89
Os 0.5000 0.5000 0.5000  4 Ge 2.89, 4 Pa 2.89

***

No. 16
Material: BeZn2
Method: DFT, PBE
State: relaxed

a = 4.7148 Å, b = 3.9953 Å, c = 7.9943 Å
α = 90.00°, β = 90.00°, γ = 90.00°
With the nearest neighbours (Å) after each atom.
Positions (direct):
Be 0.1981 0.2500 0.1708  9 Zn 2.48-2.76, 2 Be 2.68
Be 0.3019 0.7500 0.6708  9 Zn 2.48-2.76, 2 Be 2.68
Be 0.6981 0.2500 0.3292  9 Zn 2.48-2.76, 2 Be 2.68
Be 0.8019 0.7500 0.8292  9 Zn 2.48-2.76, 2 Be 2.68
Zn 0.1146 0.2500 0.8219  4 Be 2.48-2.50, 6 Zn 2.58-2.73
Zn 0.1738 0.2500 0.4827  5 Be 2.50-2.76, 6 Zn 2.58-2.73
Zn 0.3262 0.7500 0.9827  5 Be 2.50-2.76, 6 Zn 2.58-2.73
Zn 0.3854 0.7500 0.3219  4 Be 2.48-2.50, 6 Zn 2.58-2.73
Zn 0.6146 0.2500 0.6781  4 Be 2.48-2.50, 6 Zn 2.58-2.73
Zn 0.6738 0.2500 0.0173  5 Be 2.50-2.76, 6 Zn 2.58-2.73
Zn 0.8262 0.7500 0.5173  5 Be 2.50-2.76, 6 Zn 2.58-2.73
Zn 0.8854 0.7500 0.1781  4 Be 2.48-2.50, 6 Zn 2.58-2.73

***

No. 17
Material: RbScTe2O8
Method: DFT, PBE
State: relaxed

a = 5.5471 Å, b = 5.5471 Å, c = 8.7922 Å
α = 90.00°, β = 90.00°, γ = 120.00°
With the nearest neighbours (Å) after each atom.
Positions (direct):
Rb 0.0000 0.0000 0.0000  12 O 3.28-3.55
Sc 0.0000 0.0000 0.5000  6 O 2.11
Te 0.3333 0.6667 0.7120  4 O 1.82-1.85
Te 0.6667 0.3333 0.2880  4 O 1.82-1.85
O 0.0514 0.3260 0.6440  1 Te 1.85
O 0.2745 0.9486 0.6440  1 Te 1.85
O 0.3260 0.2745 0.3560  1 Te 1.85
O 0.3333 0.6667 0.9190  1 Te 1.82
O 0.6667 0.3333 0.0810  1 Te 1.82
O 0.6740 0.7255 0.6440  1 Te 1.85
O 0.7255 0.0514 0.3560  1 Te 1.85
O 0.9486 0.6740 0.3560  1 Te 1.85

Computed properties:
Formation energy without anion corrections (eV/atom): -1.54

***

No. 18
Material: Tb7PrTl5
Method: DFT, PBE
State: relaxed

a = 8.3736 Å, b = 8.3736 Å, c = 8.3736 Å
α = 133.89°, β = 99.51°, γ = 98.13°
With the nearest neighbours (Å) after each atom.
Positions (direct):
Tb 0.0000 0.0000 0.0000  4 Tl 3.33, 5 Tb 3.45-3.59
Tb 0.3034 0.6441 0.6593  5 Tl 3.29-3.40, 4 Tb 3.45-3.64
Tb 0.3146 0.3146 0.0000  6 Tl 3.33-3.42, 1 Tb 3.45, 1 Pr 3.71
Tb 0.4332 0.1280 0.3052  5 Tl 3.21-3.30, 2 Tb 3.39-3.59
Tb 0.8229 0.1280 0.6948  5 Tl 3.21-3.30, 2 Tb 3.39-3.59
Tb 0.8698 0.3698 0.5000  4 Tl 3.08, 2 Tb 3.39
Tb 0.9848 0.6441 0.3407  5 Tl 3.29-3.40, 4 Tb 3.45-3.64
Pr 0.6529 0.6529 0.0000  10 Tb 3.69-4.05, 4 Tl 4.00
Tl 0.1261 0.1354 0.4918  7 Tb 3.08-3.40, 3 Tl 3.25-3.29
Tl 0.1261 0.6342 0.9907  7 Tb 3.08-3.40, 3 Tl 3.25-3.29
Tl 0.4035 0.9035 0.5000  6 Tb 3.24-3.42, 4 Tl 3.25
Tl 0.6436 0.1354 0.0093  7 Tb 3.08-3.40, 3 Tl 3.25-3.29
Tl 0.6436 0.6342 0.5082  7 Tb 3.08-3.40, 3 Tl 3.25-3.29

***

No. 19
Material: Cd4BiPd5
Method: DFT, PBE
State: relaxed

a = 3.3452 Å, b = 3.3452 Å, c = 16.3855 Å
α = 90.00°, β = 90.00°, γ = 90.00°
With the nearest neighbours (Å) after each atom.
Positions (direct):
Cd 0.0000 0.0000 0.0958  8 Pd 2.84, 2 Cd 3.14-3.16
Cd 0.0000 0.0000 0.2888  8 Pd 2.84-2.85, 1 Cd 3.16
Cd 0.0000 0.0000 0.7112  8 Pd 2.84-2.85, 1 Cd 3.16
Cd 0.0000 0.0000 0.9042  8 Pd 2.84, 2 Cd 3.14-3.16
Bi 0.0000 0.0000 0.5000  8 Pd 3.03, 4 Bi 3.35
Pd 0.5000 0.5000 0.0000  8 Cd 2.84, 2 Pd 3.14
Pd 0.5000 0.5000 0.1919  8 Cd 2.84-2.85, 2 Pd 3.14-3.16
Pd 0.5000 0.5000 0.3848  4 Cd 2.84, 4 Bi 3.03, 1 Pd 3.16
Pd 0.5000 0.5000 0.6152  4 Cd 2.84, 4 Bi 3.03, 1 Pd 3.16
Pd 0.5000 0.5000 0.8081  8 Cd 2.84-2.85, 2 Pd 3.14-3.16

***

No. 20
Material: Tb6PrDy2Mg
Method: DFT, PBE
State: relaxed

a = 10.8761 Å, b = 10.8761 Å, c = 6.6654 Å
α = 93.91°, β = 93.91°, γ = 125.06°
With the nearest neighbours (Å) after each atom.
Positions (direct):
Tb 0.0731 0.7844 0.9610  2 Pr 3.23-3.44, 1 Mg 3.30, 5 Tb 3.34-3.52, 2 Dy 3.49-3.58
Tb 0.0861 0.5696 0.2861  6 Tb 3.35-3.62, 2 Mg 3.37-3.40, 1 Dy 3.48
Tb 0.2156 0.9269 0.5390  2 Pr 3.23-3.44, 1 Mg 3.30, 5 Tb 3.34-3.52, 2 Dy 3.49-3.58
Tb 0.3109 0.4808 0.0201  1 Mg 3.25, 3 Tb 3.44-3.62, 3 Dy 3.48-3.53
Tb 0.4304 0.9139 0.2139  6 Tb 3.35-3.62, 2 Mg 3.37-3.40, 1 Dy 3.48
Tb 0.4808 0.3109 0.5201  1 Mg 3.25, 3 Tb 3.44-3.62, 3 Dy 3.48-3.53
Tb 0.5192 0.6891 0.4799  1 Mg 3.25, 3 Tb 3.44-3.62, 3 Dy 3.48-3.53
Tb 0.5696 0.0861 0.7861  6 Tb 3.35-3.62, 2 Mg 3.37-3.40, 1 Dy 3.48
Tb 0.6891 0.5192 0.9799  1 Mg 3.25, 3 Tb 3.44-3.62, 3 Dy 3.48-3.53
Tb 0.7844 0.0731 0.4610  2 Pr 3.23-3.44, 1 Mg 3.30, 5 Tb 3.34-3.52, 2 Dy 3.49-3.58
Tb 0.9139 0.4304 0.7139  6 Tb 3.35-3.62, 2 Mg 3.37-3.40, 1 Dy 3.48
Tb 0.9269 0.2156 0.0390  2 Pr 3.23-3.44, 1 Mg 3.30, 5 Tb 3.34-3.52, 2 Dy 3.49-3.58
Pr 0.0113 0.9887 0.2500  4 Tb 3.23-3.44, 2 Pr 3.36, 4 Dy 3.43-3.57
Pr 0.9887 0.0113 0.7500  4 Tb 3.23-3.44, 2 Pr 3.36, 4 Dy 3.43-3.57
Dy 0.1756 0.3440 0.5040  2 Pr 3.43-3.57, 8 Tb 3.48-3.79, 1 Mg 3.61
Dy 0.3440 0.1756 0.0040  2 Pr 3.43-3.57, 8 Tb 3.48-3.79, 1 Mg 3.61
Dy 0.6560 0.8244 0.9960  2 Pr 3.43-3.57, 8 Tb 3.48-3.79, 1 Mg 3.61
Dy 0.8244 0.6560 0.4960  2 Pr 3.43-3.57, 8 Tb 3.48-3.79, 1 Mg 3.61
Mg 0.2920 0.7080 0.7500  8 Tb 3.25-3.40, 2 Dy 3.61
Mg 0.7080 0.2920 0.2500  8 Tb 3.25-3.40, 2 Dy 3.61

***

| no. | total moment (μB per atom) | energy (eV per atom) |
| --- | --- | --- |
| 1 | 0.3191 | -7.47 |
| 2 | 0.0000 | -5.03 |
| 3 | 0.0000 | -6.54 |
| 4 | 0.5212 | -3.17 |
| 5 | 0.0000 | -3.74 |
| 6 | 0.0000 | -6.43 |
| 7 | 0.0000 | -6.91 |
| 8 | 0.2699 | -3.63 |
| 9 | 0.0000 | -7.80 |
| 10 | 0.0000 | -3.63 |
| 11 | 0.0000 | -9.67 |
| 12 | 0.0000 | -3.99 |
| 13 | 0.0001 | -6.00 |
| 14 | 0.0000 | -7.74 |
| 15 | 0.0006 | -8.11 |
| 16 | 0.0000 | -1.94 |
| 17 | 0.0000 | -5.98 |
| 18 | 0.0001 | -3.94 |
| 19 | 0.0000 | -3.71 |
| 20 | 0.0001 | -4.22 |